# PBE-GGA Pa2NiAsN5, optimized geometry
data_Pa2NiAsN5
_space_group_name_H-M_alt 'C m c 21'
_space_group_IT_number 36
_cell_length_a 3.3919
_cell_length_b 13.6152
_cell_length_c 9.8270
_cell_angle_alpha 90.00
_cell_angle_beta 90.00
_cell_angle_gamma 90.00
loop_
_space_group_symop_operation_xyz
'x,y,z'
'-x,-y,z+1/2'
'-x,y,z'
'x,-y,z+1/2'
'x+1/2,y+1/2,z'
'-x+1/2,-y+1/2,z+1/2'
'-x+1/2,y+1/2,z'
'x+1/2,-y+1/2,z+1/2'
loop_
_atom_site_label
_atom_site_type_symbol
_atom_site_fract_x
_atom_site_fract_y
_atom_site_fract_z
_atom_site_occupancy
Pa1 Pa 0.0000 0.0905 0.0000 1
Pa2 Pa 0.0000 0.1466 0.6213 1
Ni1 Ni 0.0000 0.4833 0.7788 1
As1 As 0.0000 0.1841 0.3124 1
N1 N 0.0000 0.0572 0.3930 1
N2 N 0.0000 0.2691 0.0334 1
N3 N 0.0000 0.3489 0.6997 1
N4 N 0.0000 0.3816 0.3422 1
N5 N 0.0000 0.4736 0.0969 1
# Total moment ... 0.00 Bohr magnetons per cell
# Formation energy without anion corrections ... -569 meV/atom
# Calculated total energy ... -8.463 eV per atom